Entry 1:
NdMg15Tl4 | PBE | relaxed

Output
**DFT formation energy**: -0.038 eV/atom
**Total magnetic moment**: 0.000 μB/atom
**Final energy**: -1.946 eV per atom

a b c (Å): 4.8344 4.8344 20.5021
angles (deg): 90.00 90.00 90.00
With the nearest neighbours (Å) after each atom.
Space group P4/mmm (No. 123)
Symmetry-distinct sites (fractional):
Nd: 0.0000 0.0000 0.0000 x1  12 Mg 3.29-3.42
Mg: 0.0000 0.5000 0.1086 x4  2 Tl 3.12, 8 Mg 3.19-3.42, 2 Nd 3.29
Mg: 0.0000 0.5000 0.3049 x4  8 Mg 3.10-3.42, 4 Tl 3.16-3.17
Mg: 0.0000 0.5000 0.5000 x2  4 Tl 3.12, 8 Mg 3.16-3.42
Mg: 0.5000 0.5000 0.0000 x1  8 Mg 3.29, 4 Nd 3.42
Mg: 0.5000 0.5000 0.2100 x2  8 Mg 3.10-3.19, 4 Tl 3.42
Mg: 0.5000 0.5000 0.4009 x2  8 Mg 3.12-3.16, 4 Tl 3.42
Tl: 0.0000 0.0000 0.2049 x2  12 Mg 3.12-3.42
Tl: 0.0000 0.0000 0.4040 x2  12 Mg 3.12-3.42

=====

Entry 2:
Nd12Mg2Tl5 | PBE | relaxed

Output
**DFT formation energy**: -0.130 eV/atom
**Total magnetic moment**: 0.000 μB/atom
**Final energy**: -3.932 eV per atom

a b c (Å): 14.0104 9.7500 8.7532
angles (deg): 90.00 94.48 90.00
With the nearest neighbours (Å) after each atom.
Space group C2/m (No. 12)
Symmetry-distinct sites (fractional):
Nd: 0.0804 0.0000 0.1815 x4  2 Tl 3.20-3.26, 6 Nd 3.34-3.52, 2 Mg 3.50
Nd: 0.0950 0.5000 0.6430 x4  3 Tl 3.32-3.58, 5 Nd 3.46-3.69, 2 Mg 3.68
Nd: 0.1173 0.2026 0.8592 x8  3 Tl 3.24-3.60, 4 Nd 3.40-3.61, 1 Mg 3.45
Nd: 0.1515 0.3138 0.2949 x8  1 Mg 3.21, 2 Tl 3.25-3.51, 1 Nd 3.34
Mg: 0.0000 0.1684 0.5000 x4  2 Tl 3.02, 2 Nd 3.21, 1 Mg 3.28
Tl: 0.0000 0.5000 0.0000 x2  2 Tl 3.13, 2 Nd 3.49
Tl: 0.1818 0.0000 0.5302 x4  2 Mg 3.02, 3 Nd 3.25-3.26
Tl: 0.2221 0.5000 0.9790 x4  1 Tl 3.13, 6 Nd 3.20-3.38

=====

Entry 3:
Nd2MgTl9 | PBE | relaxed

Output
**DFT formation energy**: -0.182 eV/atom
**Total magnetic moment**: 0.000 μB/atom
**Final energy**: -2.884 eV per atom

a b c (Å): 4.8339 4.8339 14.3855
angles (deg): 90.00 90.00 90.00
With the nearest neighbours (Å) after each atom.
Space group P4/mmm (No. 123)
Symmetry-distinct sites (fractional):
Nd: 0.0000 0.0000 0.1652 x2  12 Tl 3.39-3.48
Mg: 0.0000 0.0000 0.5000 x1  12 Tl 3.34-3.42
Tl: 0.0000 0.5000 0.0000 x2  4 Nd 3.39, 8 Tl 3.42
Tl: 0.0000 0.5000 0.3395 x4  8 Tl 3.34-3.46, 2 Mg 3.34, 2 Nd 3.48
Tl: 0.5000 0.5000 0.1678 x2  8 Tl 3.42-3.46, 4 Nd 3.42
Tl: 0.5000 0.5000 0.5000 x1  8 Tl 3.34, 4 Mg 3.42

=====

Entry 4:
Nd6Mg5Tl | PBE | relaxed

Output
**DFT formation energy**: -0.161 eV/atom
**Total magnetic moment**: 0.000 μB/atom
**Final energy**: -3.407 eV per atom

a b c (Å): 5.5018 16.5491 7.7551
angles (deg): 90.00 90.00 90.00
With the nearest neighbours (Å) after each atom.
Space group Cmmm (No. 65)
Symmetry-distinct sites (fractional):
Nd: 0.0000 0.0000 0.2498 x4  6 Mg 3.36-3.42, 2 Tl 3.37
Nd: 0.0000 0.3331 0.2478 x8  7 Mg 3.33-3.38, 1 Tl 3.38
Mg: 0.0000 0.1664 0.0000 x4  8 Nd 3.36-3.37
Mg: 0.0000 0.1704 0.5000 x4  8 Nd 3.33-3.42
Mg: 0.0000 0.5000 0.0000 x2  8 Nd 3.36
Tl: 0.0000 0.5000 0.5000 x2  8 Nd 3.37-3.38

=====

Entry 5:
NdMgTl | PBE | relaxed

Output
**DFT formation energy**: -0.358 eV/atom
**Total magnetic moment**: 0.000 μB/atom
**Final energy**: -3.268 eV per atom

a b c (Å): 7.7359 7.7359 4.7741
angles (deg): 90.00 90.00 120.00
With the nearest neighbours (Å) after each atom.
Space group P-62m (No. 189)
Symmetry-distinct sites (fractional):
Nd: 0.0000 0.4272 0.0000 x3  5 Tl 3.30-3.32, 2 Mg 3.50
Mg: 0.0000 0.7578 0.5000 x3  4 Tl 2.99-3.03, 2 Mg 3.25
Tl: 0.0000 0.0000 0.0000 x1  6 Mg 3.03, 3 Nd 3.30
Tl: 0.3333 0.6667 0.5000 x2  3 Mg 2.99, 6 Nd 3.32

=====

Entry 6:
NdMgTl | PBE | relaxed

Output
**DFT formation energy**: -0.261 eV/atom
**Total magnetic moment**: 0.000 μB/atom
**Final energy**: -3.171 eV per atom

a b c (Å): 4.8519 15.6627 4.3425
angles (deg): 90.00 90.00 90.00
With the nearest neighbours (Å) after each atom.
Space group Cmmm (No. 65)
Symmetry-distinct sites (fractional):
Nd: 0.0000 0.1642 0.0000 x4  4 Tl 3.27, 4 Mg 3.37-3.54, 2 Nd 3.62
Mg: 0.0000 0.0000 0.5000 x2  4 Mg 3.26, 4 Tl 3.31, 4 Nd 3.37
Mg: 0.0000 0.5000 0.0000 x2  4 Tl 3.12, 4 Mg 3.26
Tl: 0.0000 0.3566 0.5000 x4  4 Mg 3.12-3.31, 4 Nd 3.27

=====

Entry 7:
Nd2Mg2Tl | PBE | relaxed

Output
**DFT formation energy**: -0.179 eV/atom
**Polymorph energy (0 for the lowest one)**: 0 kJ/mol of formula units
**Total magnetic moment**: 0.000 μB/atom
**Final energy**: -3.198 eV per atom

a b c (Å): 9.2120 5.3232 6.6048
angles (deg): 90.00 117.82 90.00
With the nearest neighbours (Å) after each atom.
Space group C2/m (No. 12)
Symmetry-distinct sites (fractional):
Nd: 0.1000 0.0000 0.2995 x4  3 Tl 3.28-3.29, 6 Mg 3.42-3.67, 1 Nd 3.50
Mg: 0.1807 0.5000 0.0427 x4  3 Mg 3.11, 1 Tl 3.17, 3 Nd 3.42
Tl: 0.0000 0.5000 0.5000 x2  2 Mg 3.17, 6 Nd 3.28-3.29

=====

Entry 8:
Nd8Mg2Tl | PBE | relaxed

Output
**DFT formation energy**: -0.070 eV/atom
**Polymorph energy (0 for the lowest one)**: 25 kJ/mol of formula units
**Total magnetic moment**: 0.000 μB/atom
**Final energy**: -4.042 eV per atom

a b c (Å): 17.7759 5.0409 8.2349
angles (deg): 90.00 109.32 90.00
With the nearest neighbours (Å) after each atom.
Space group C2/m (No. 12)
Symmetry-distinct sites (fractional):
Nd: 0.0543 0.0000 0.2263 x4  1 Mg 3.41, 9 Nd 3.43-3.68, 2 Tl 3.72
Nd: 0.0918 0.5000 0.9450 x4  3 Mg 3.47-3.48, 1 Tl 3.48, 8 Nd 3.53-3.81
Nd: 0.1369 0.0000 0.6917 x4  3 Mg 3.45-3.46, 2 Tl 3.50, 7 Nd 3.53-3.72
Nd: 0.1802 0.5000 0.4340 x4  1 Mg 3.40, 1 Tl 3.42, 8 Nd 3.43-3.81
Mg: 0.2270 0.0000 0.1322 x4  8 Nd 3.40-3.48, 2 Mg 3.60
Tl: 0.0000 0.5000 0.5000 x2  12 Nd 3.42-3.72

=====

Entry 9:
Nd2Mg3Tl2 | PBE | relaxed

Output
**DFT formation energy**: -0.231 eV/atom
**Total magnetic moment**: 0.000 μB/atom
**Final energy**: -2.953 eV per atom

a b c (Å): 11.3726 4.8284 7.3277
angles (deg): 90.00 110.06 90.00
With the nearest neighbours (Å) after each atom.
Space group C2/m (No. 12)
Symmetry-distinct sites (fractional):
Nd: 0.1480 0.0000 0.2713 x4  4 Tl 3.33-3.40, 7 Mg 3.38-3.67
Mg: 0.0000 0.5000 0.5000 x2  2 Mg 2.97, 4 Tl 3.11
Mg: 0.1062 0.5000 0.9317 x4  2 Mg 2.92-2.97, 3 Tl 2.96-3.00
Tl: 0.1514 0.0000 0.7315 x4  5 Mg 2.96-3.11

=====

Entry 10:
Nd4Mg2Tl | PBE | relaxed

Output
**DFT formation energy**: -0.043 eV/atom
**Total magnetic moment**: 0.000 μB/atom
**Final energy**: -3.561 eV per atom

a b c (Å): 7.7149 7.7149 7.6787
angles (deg): 90.00 90.00 90.00
With the nearest neighbours (Å) after each atom.
Space group I4/mmm (No. 139)
Symmetry-distinct sites (fractional):
Nd: 0.2500 0.2500 0.2500 x8  2 Tl 3.34, 4 Mg 3.34
Mg: 0.0000 0.5000 0.0000 x4  8 Nd 3.34
Tl: 0.0000 0.0000 0.0000 x2  8 Nd 3.34

=====

Entry 11:
Nd5MgTl6 | PBE | relaxed

Output
**DFT formation energy**: -0.337 eV/atom
**Total magnetic moment**: 0.000 μB/atom
**Final energy**: -3.640 eV per atom

a b c (Å): 9.5416 16.4714 5.3730
angles (deg): 90.00 124.17 90.00
With the nearest neighbours (Å) after each atom.
Space group C2/m (No. 12)
Symmetry-distinct sites (fractional):
Nd: 0.0000 0.0000 0.0000 x2  8 Tl 3.32-3.35
Nd: 0.0000 0.1715 0.5000 x4  8 Tl 3.34-3.44
Nd: 0.0000 0.3445 0.0000 x4  8 Tl 3.24-3.57
Mg: 0.0000 0.5000 0.5000 x2  8 Tl 3.34-3.35, 4 Nd 3.71
Tl: 0.2481 0.0000 0.7478 x4  6 Nd 3.24-3.44, 2 Mg 3.34-3.35
Tl: 0.2494 0.3361 0.7499 x8  7 Nd 3.33-3.57, 1 Mg 3.34

=====

Entry 12:
NdMg3Tl2 | PBE | relaxed

Output
**DFT formation energy**: -0.180 eV/atom
**Total magnetic moment**: 0.000 μB/atom
**Final energy**: -2.561 eV per atom

a b c (Å): 17.4429 4.8420 7.8480
angles (deg): 90.00 111.94 90.00
With the nearest neighbours (Å) after each atom.
Space group C2/m (No. 12)
Symmetry-distinct sites (fractional):
Nd: 0.1179 0.0000 0.1812 x4  7 Tl 3.37-3.64, 7 Mg 3.46-3.76
Mg: 0.0709 0.0000 0.6991 x4  3 Tl 2.89-2.99, 3 Mg 3.18-3.23
Mg: 0.1308 0.5000 0.5061 x4  4 Tl 2.90-3.10, 3 Mg 3.01-3.23
Mg: 0.1974 0.5000 0.9198 x4  2 Tl 2.93-2.97, 3 Mg 3.01-3.02
Tl: 0.0179 0.5000 0.8245 x4  4 Mg 2.89-2.93, 1 Tl 3.04
Tl: 0.2377 0.0000 0.6725 x4  5 Mg 2.97-3.10

=====

Entry 13:
Nd4MgTl2 | PBE | relaxed

Output
**DFT formation energy**: -0.197 eV/atom
**Polymorph energy (0 for the lowest one)**: 0 kJ/mol of formula units
**Total magnetic moment**: 0.001 μB/atom
**Final energy**: -3.825 eV per atom

a b c (Å): 5.4360 5.4360 25.9304
angles (deg): 90.00 90.00 120.00
With the nearest neighbours (Å) after each atom.
Space group R-3m (No. 166, hexagonal axes)
Symmetry-distinct sites (fractional):
Nd: 0.0000 0.0000 0.1138 x6  4 Tl 3.19-3.32, 3 Mg 3.43
Nd: 0.0000 0.0000 0.3676 x6  4 Tl 3.26-3.47, 1 Mg 3.43, 3 Nd 3.61
Mg: 0.0000 0.0000 0.5000 x3  8 Nd 3.43, 6 Tl 3.70
Tl: 0.0000 0.0000 0.2420 x6  8 Nd 3.19-3.47

=====

Entry 14:
NdMg3Tl3 | PBE | relaxed

Output
**DFT formation energy**: 0.387 eV/atom
**Polymorph energy (0 for the lowest one)**: 0 kJ/mol of formula units
**Total magnetic moment**: 0.000 μB/atom
**Final energy**: -1.991 eV per atom

a b c (Å): 7.7549 7.7549 7.7549
angles (deg): 90.00 90.00 90.00
With the nearest neighbours (Å) after each atom.
Space group Pm-3n (No. 223)
Symmetry-distinct sites (fractional):
Nd: 0.0000 0.0000 0.0000 x2  12 Tl 4.34, 12 Mg 4.34
Mg: 0.0000 0.2500 0.5000 x6  4 Tl 2.74
Tl: 0.0000 0.5000 0.2500 x6  4 Mg 2.74

=====

Entry 15:
Nd5Mg4Tl | PBE | relaxed

Output
**DFT formation energy**: -0.162 eV/atom
**Total magnetic moment**: 0.000 μB/atom
**Final energy**: -3.421 eV per atom

a b c (Å): 3.8884 3.8884 19.5196
angles (deg): 90.00 90.00 90.00
With the nearest neighbours (Å) after each atom.
Space group P4/mmm (No. 123)
Symmetry-distinct sites (fractional):
Nd: 0.0000 0.0000 0.0000 x1  8 Mg 3.37
Nd: 0.0000 0.0000 0.1998 x2  8 Mg 3.34-3.38
Nd: 0.0000 0.0000 0.3978 x2  4 Mg 3.38, 4 Tl 3.40
Mg: 0.5000 0.5000 0.0995 x2  8 Nd 3.37-3.38
Mg: 0.5000 0.5000 0.2968 x2  8 Nd 3.34-3.38
Tl: 0.5000 0.5000 0.5000 x1  8 Nd 3.40

=====

Entry 16:
NdMgTl | PBE | relaxed

Output
**DFT formation energy**: -0.042 eV/atom
**Total magnetic moment**: 0.000 μB/atom
**Final energy**: -2.952 eV per atom

a b c (Å): 7.4415 7.1358 7.1391
angles (deg): 90.00 90.00 90.00
With the nearest neighbours (Å) after each atom.
Space group Ama2 (No. 40)
Symmetry-distinct sites (fractional):
Nd: 0.2500 0.2499 0.0000 x4  4 Tl 3.14
Mg: 0.2500 0.2496 0.5011 x4  4 Tl 3.13-3.14
Tl: 0.0000 0.0000 0.2501 x4  4 Mg 3.13-3.14, 4 Nd 3.14

=====

Entry 17:
Nd6MgTl | PBE | relaxed

Output
**DFT formation energy**: -0.101 eV/atom
**Polymorph energy (0 for the lowest one)**: 0 kJ/mol of formula units
**Total magnetic moment**: 0.001 μB/atom
**Final energy**: -4.172 eV per atom

a b c (Å): 5.0191 5.0191 10.0220
angles (deg): 90.00 90.00 90.00
With the nearest neighbours (Å) after each atom.
Space group P4/mmm (No. 123)
Symmetry-distinct sites (fractional):
Nd: 0.0000 0.0000 0.0000 x1  8 Nd 3.53, 4 Tl 3.55
Nd: 0.0000 0.0000 0.5000 x1  4 Mg 3.55, 8 Nd 3.56
Nd: 0.0000 0.5000 0.2482 x4  2 Tl 3.53, 8 Nd 3.53-3.56, 2 Mg 3.56
Mg: 0.5000 0.5000 0.5000 x1  12 Nd 3.55-3.56
Tl: 0.5000 0.5000 0.0000 x1  12 Nd 3.53-3.55

=====

Entry 18:
Nd3Mg7Tl2 | PBE | relaxed

Output
**DFT formation energy**: -0.129 eV/atom
**Total magnetic moment**: 0.000 μB/atom
**Final energy**: -2.645 eV per atom

a b c (Å): 6.1531 6.1531 29.2964
angles (deg): 90.00 90.00 120.00
With the nearest neighbours (Å) after each atom.
Space group R-3m (No. 166, hexagonal axes)
Symmetry-distinct sites (fractional):
Nd: 0.0000 0.0000 0.0000 x3  6 Tl 3.55, 12 Mg 3.93
Nd: 0.0000 0.0000 0.1440 x6  12 Mg 3.55-3.61, 3 Nd 3.79
Mg: 0.0000 0.0000 0.5000 x3  6 Mg 3.03
Mg: 0.0047 0.5023 0.9166 x18  2 Tl 3.01-3.03, 5 Mg 3.03-3.12
Tl: 0.0000 0.0000 0.3344 x6  6 Mg 3.01-3.03

=====

Entry 19:
NdMgTl | PBE | relaxed

Output
**DFT formation energy**: -0.192 eV/atom
**Total magnetic moment**: 0.001 μB/atom
**Final energy**: -3.102 eV per atom

a b c (Å): 3.6523 3.6523 12.4067
angles (deg): 90.00 90.00 90.00
With the nearest neighbours (Å) after each atom.
Space group I4mm (No. 107)
Symmetry-distinct sites (fractional):
Nd: 0.0000 0.0000 0.0000 x2  4 Tl 3.40, 4 Mg 3.47, 4 Nd 3.65
Mg: 0.0000 0.0000 0.6863 x2  4 Tl 3.08
Tl: 0.0000 0.0000 0.3220 x2  4 Mg 3.08, 4 Nd 3.40

=====

Entry 20:
NdMgTl | PBE | relaxed

Output
**DFT formation energy**: -0.213 eV/atom
**Total magnetic moment**: 0.000 μB/atom
**Final energy**: -3.123 eV per atom

a b c (Å): 7.1879 7.1879 7.1879
angles (deg): 90.00 90.00 90.00
With the nearest neighbours (Å) after each atom.
Space group F-43m (No. 216)
Symmetry-distinct sites (fractional):
Nd: 0.0000 0.0000 0.0000 x4  4 Tl 3.11
Mg: 0.0000 0.0000 0.5000 x4  4 Tl 3.11
Tl: 0.2500 0.2500 0.2500 x4  4 Mg 3.11, 4 Nd 3.11

=====

Entry 21:
Nd5MgTl4 | PBE | relaxed

Output
**DFT formation energy**: -0.333 eV/atom
**Total magnetic moment**: 0.000 μB/atom
**Final energy**: -3.823 eV per atom

a b c (Å): 3.8914 3.8914 19.6259
angles (deg): 90.00 90.00 90.00
With the nearest neighbours (Å) after each atom.
Space group P4/mmm (No. 123)
Symmetry-distinct sites (fractional):
Nd: 0.0000 0.0000 0.0000 x1  8 Tl 3.39
Nd: 0.0000 0.0000 0.2013 x2  8 Tl 3.39-3.42
Nd: 0.0000 0.0000 0.4030 x2  4 Mg 3.35, 4 Tl 3.36
Mg: 0.5000 0.5000 0.5000 x1  8 Nd 3.35
Tl: 0.5000 0.5000 0.1006 x2  8 Nd 3.39
Tl: 0.5000 0.5000 0.3048 x2  8 Nd 3.36-3.42

=====

Entry 22:
Nd8Mg2Tl | PBE | relaxed

Output
**DFT formation energy**: -0.093 eV/atom
**Polymorph energy (0 for the lowest one)**: 0 kJ/mol of formula units
**Total magnetic moment**: 0.000 μB/atom
**Final energy**: -4.066 eV per atom

a b c (Å): 16.8776 5.5565 8.8738
angles (deg): 90.00 121.14 90.00
With the nearest neighbours (Å) after each atom.
Space group C2/m (No. 12)
Symmetry-distinct sites (fractional):
Nd: 0.0693 0.0000 0.2204 x4  1 Mg 3.29, 6 Nd 3.36-3.66
Nd: 0.0903 0.5000 0.9485 x4  3 Mg 3.37-3.44, 1 Tl 3.45, 3 Nd 3.61
Nd: 0.1366 0.0000 0.6846 x4  3 Mg 3.29-3.44, 2 Tl 3.44, 1 Nd 3.66
Nd: 0.1815 0.5000 0.4465 x4  1 Tl 3.33, 1 Mg 3.37, 5 Nd 3.38-3.68
Mg: 0.2293 0.0000 0.1146 x4  8 Nd 3.29-3.44
Tl: 0.0000 0.5000 0.5000 x2  8 Nd 3.33-3.45